The following is a DFT calculation (PBE with a Hubbard U) of KCaV2O6 after structural relaxation.

Calculated values
symmetry = No. 15
total magnetic moment = 1.0 μB per formula unit
uncorrected energy = -7.00 eV/atom

Cell lengths 7.420, 7.420, 5.961 Å; angles 100.92, 100.92, 86.36 degrees
Site moments in Bohr magnetons follow the coordinates.
Sites, in units of the cell vectors:
Ca 0.401 0.599 0.750  0.00
Ca 0.599 0.401 0.250  0.00
O 0.148 0.172 0.515  -0.05
O 0.531 0.702 0.142  -0.03
O 0.298 0.469 0.358  -0.03
O 0.094 0.616 0.789  -0.02
O 0.384 0.906 0.711  -0.02
O 0.828 0.852 0.985  -0.05
O 0.172 0.148 0.015  -0.05
O 0.616 0.094 0.289  -0.02
O 0.906 0.384 0.211  -0.02
O 0.702 0.531 0.642  -0.03
O 0.852 0.828 0.485  -0.05
O 0.469 0.298 0.858  -0.03
K 0.816 0.184 0.750  0.00
K 0.184 0.816 0.250  0.00
V 0.872 0.695 0.722  0.58
V 0.128 0.305 0.278  0.58
V 0.695 0.872 0.222  0.58
V 0.305 0.128 0.778  0.58